1.
Density functional theory data (PBEsol) for an optimized crystal structure of WAu2Se.

Results
Total magnetic moment   0.000 μB per formula unit
Space group   P4/mmm
VASP energy   -5.63 eV/atom
Formation energy (no corrections)   3.0 eV/f.u.

abc: 2.697 5.101 5.101
angles: 90.00 90.00 90.00
Atoms (fractional coordinates):
Au 0.000 0.500 0.000
W 0.500 0.000 0.000
Au 0.000 0.000 0.500
Se 0.500 0.500 0.500

=====

2.
Density functional theory data (PBEsol) for an optimized crystal structure of WAuSe2.

Results
Total magnetic moment   0.000 μB per formula unit
Space group   Cmmm
VASP energy   -5.81 eV/atom
Formation energy (no corrections)   2.2 eV/f.u.

abc: 2.707 5.294 5.294
angles: 107.04 90.00 90.00
Atoms (fractional coordinates):
Au 0.000 0.500 0.500
Se 0.000 0.000 0.500
Se 0.000 0.500 0.000
W 0.000 0.000 0.000

=====

3.
Density functional theory data (PBEsol) for an optimized crystal structure of Y2AuSe.

Results
Total magnetic moment   0.000 μB per formula unit
Space group   R-3m
VASP energy   -6.67 eV/atom
Formation energy (no corrections)   -5.2 eV/f.u.

abc: 3.944 3.944 7.513
angles: 74.78 74.78 60.00
Atoms (fractional coordinates):
Y 0.251 0.251 0.248
Se 0.000 0.000 0.000
Au 0.500 0.500 0.500
Y 0.749 0.749 0.752